Entry 1:
# TcBi2H5, optimized geometry, DFT PBE
# E_tot   -4.1733 eV per atom
# Fermi-level density of states   1.82 states/eV/cell
data_TcBi2H5
_chemical_formula_sum 'Tc1 Bi2 H5'
_cell_length_a 4.856
_cell_length_b 5.207
_cell_length_c 5.208
_cell_angle_alpha 77.83
_cell_angle_beta 62.26
_cell_angle_gamma 62.35
_symmetry_space_group_name_H-M 'P 1'
_symmetry_Int_Tables_number 1
_symmetry_space_group_name_Hall 'P 1'
loop_
_atom_site_label
_atom_site_type_symbol
_atom_site_fract_x
_atom_site_fract_y
_atom_site_fract_z
_atom_site_occupancy
Tc1 Tc 0.000 0.000 0.000 1
Bi1 Bi 0.381 0.874 0.361 1
Bi2 Bi 0.383 0.361 0.873 1
H1 H 0.437 0.842 0.840 1
H2 H 0.741 0.261 0.261 1
H3 H 0.879 0.840 0.842 1
H4 H 0.967 0.762 0.299 1
H5 H 0.969 0.299 0.763 1

Entry 2:
# PrTl3O6, optimized geometry, DFT PBE
# E_tot   -5.4663 eV per atom
# Fermi-level density of states   4.03 states/eV/cell
# Energy relative to the elements, uncorrected   -1303.5 meV per atom
data_PrTl3O6
_chemical_formula_sum 'Pr2 Tl6 O12'
_cell_length_a 9.418
_cell_length_b 3.509
_cell_length_c 9.434
_cell_angle_alpha 90.00
_cell_angle_beta 108.34
_cell_angle_gamma 90.00
_symmetry_space_group_name_H-M 'P 1'
_symmetry_Int_Tables_number 1
_symmetry_space_group_name_Hall 'P 1'
loop_
_atom_site_label
_atom_site_type_symbol
_atom_site_fract_x
_atom_site_fract_y
_atom_site_fract_z
_atom_site_occupancy
Pr1 Pr 0.192 0.250 0.057 1
Pr2 Pr 0.808 0.750 0.943 1
Tl1 Tl 0.010 0.250 0.681 1
Tl2 Tl 0.330 0.250 0.445 1
Tl3 Tl 0.411 0.750 0.833 1
Tl4 Tl 0.589 0.250 0.167 1
Tl5 Tl 0.670 0.750 0.555 1
Tl6 Tl 0.990 0.750 0.319 1
O1 O 0.050 0.750 0.901 1
O2 O 0.101 0.250 0.463 1
O3 O 0.221 0.750 0.268 1
O4 O 0.252 0.250 0.808 1
O5 O 0.405 0.750 0.077 1
O6 O 0.442 0.750 0.602 1
O7 O 0.558 0.250 0.398 1
O8 O 0.595 0.250 0.923 1
O9 O 0.748 0.750 0.192 1
O10 O 0.779 0.250 0.732 1
O11 O 0.899 0.750 0.537 1
O12 O 0.950 0.250 0.099 1

Entry 3:
# MnCoHIr2, optimized geometry, DFT PBE
# E_tot   -7.4744 eV per atom
# Offset from the most stable computed form   0 meV per atom
# Fermi-level density of states   4.94 states/eV/cell
data_MnCoHIr2
_chemical_formula_sum 'Mn1 Co1 H1 Ir2'
_cell_length_a 3.874
_cell_length_b 3.874
_cell_length_c 3.658
_cell_angle_alpha 90.00
_cell_angle_beta 90.00
_cell_angle_gamma 90.00
_symmetry_space_group_name_H-M 'P 1'
_symmetry_Int_Tables_number 1
_symmetry_space_group_name_Hall 'P 1'
loop_
_atom_site_label
_atom_site_type_symbol
_atom_site_fract_x
_atom_site_fract_y
_atom_site_fract_z
_atom_site_occupancy
Mn1 Mn 0.000 0.000 0.000 1
Co1 Co 0.500 0.500 0.000 1
H1 H 0.500 0.500 0.500 1
Ir1 Ir 0.000 0.500 0.500 1
Ir2 Ir 0.500 0.000 0.500 1

Entry 4:
# GdNi2Pb, optimized geometry, DFT PBE
# E_tot   -7.5689 eV per atom
# Fermi-level density of states   3.53 states/eV/cell
# Formation enthalpy at 0 K   -22.3 kJ/mol of atoms
data_GdNi2Pb
_chemical_formula_sum 'Gd1 Ni2 Pb1'
_cell_length_a 4.690
_cell_length_b 4.690
_cell_length_c 4.690
_cell_angle_alpha 60.00
_cell_angle_beta 60.00
_cell_angle_gamma 60.00
_symmetry_space_group_name_H-M 'P 1'
_symmetry_Int_Tables_number 1
_symmetry_space_group_name_Hall 'P 1'
loop_
_atom_site_label
_atom_site_type_symbol
_atom_site_fract_x
_atom_site_fract_y
_atom_site_fract_z
_atom_site_occupancy
Gd1 Gd 0.000 0.000 0.000 1
Ni1 Ni 0.250 0.250 0.250 1
Ni2 Ni 0.750 0.750 0.750 1
Pb1 Pb 0.500 0.500 0.500 1

Entry 5:
# Sr2AgGe2, optimized geometry, DFT PBE
# E_tot   -3.5042 eV per atom
# Offset from the most stable computed form   104 meV per atom
# Fermi-level density of states   5.64 states/eV/cell
# Formation enthalpy at 0 K   -40.0 kJ/mol of atoms
data_Sr2AgGe2
_chemical_formula_sum 'Sr4 Ag2 Ge4'
_cell_length_a 7.615
_cell_length_b 7.615
_cell_length_c 4.677
_cell_angle_alpha 90.00
_cell_angle_beta 90.00
_cell_angle_gamma 90.00
_symmetry_space_group_name_H-M 'P 1'
_symmetry_Int_Tables_number 1
_symmetry_space_group_name_Hall 'P 1'
loop_
_atom_site_label
_atom_site_type_symbol
_atom_site_fract_x
_atom_site_fract_y
_atom_site_fract_z
_atom_site_occupancy
Sr1 Sr 0.175 0.325 0.000 1
Sr2 Sr 0.325 0.825 0.000 1
Sr3 Sr 0.675 0.175 0.000 1
Sr4 Sr 0.825 0.675 0.000 1
Ag1 Ag 0.000 0.000 0.500 1
Ag2 Ag 0.500 0.500 0.500 1
Ge1 Ge 0.121 0.621 0.500 1
Ge2 Ge 0.379 0.121 0.500 1
Ge3 Ge 0.621 0.879 0.500 1
Ge4 Ge 0.879 0.379 0.500 1

Entry 6:
# DyScO3, optimized geometry, DFT PBE
# E_tot   -8.7074 eV per atom
# Fermi-level density of states   0.00 states/eV/cell
# Energy relative to the elements, uncorrected   -3545.7 meV per atom
data_DyScO3
_chemical_formula_sum 'Dy4 Sc4 O12'
_cell_length_a 5.751
_cell_length_b 7.972
_cell_length_c 5.458
_cell_angle_alpha 90.00
_cell_angle_beta 90.00
_cell_angle_gamma 90.00
_symmetry_space_group_name_H-M 'P 1'
_symmetry_Int_Tables_number 1
_symmetry_space_group_name_Hall 'P 1'
loop_
_atom_site_label
_atom_site_type_symbol
_atom_site_fract_x
_atom_site_fract_y
_atom_site_fract_z
_atom_site_occupancy
Dy1 Dy 0.062 0.250 0.020 1
Dy2 Dy 0.438 0.750 0.520 1
Dy3 Dy 0.562 0.250 0.480 1
Dy4 Dy 0.938 0.750 0.980 1
Sc1 Sc 0.000 0.000 0.500 1
Sc2 Sc 0.000 0.500 0.500 1
Sc3 Sc 0.500 0.000 0.000 1
Sc4 Sc 0.500 0.500 0.000 1
O1 O 0.057 0.750 0.369 1
O2 O 0.194 0.568 0.809 1
O3 O 0.194 0.932 0.809 1
O4 O 0.306 0.068 0.309 1
O5 O 0.306 0.432 0.309 1
O6 O 0.443 0.250 0.869 1
O7 O 0.557 0.750 0.131 1
O8 O 0.694 0.568 0.691 1
O9 O 0.694 0.932 0.691 1
O10 O 0.806 0.068 0.191 1
O11 O 0.806 0.432 0.191 1
O12 O 0.943 0.250 0.631 1

Entry 7:
# Dy2ScMn, optimized geometry, DFT PBE
# E_tot   -6.0434 eV per atom
# Offset from the most stable computed form   0 meV per atom
# Fermi-level density of states   5.46 states/eV/cell
# Formation enthalpy at 0 K   12.8 kJ/mol of atoms
data_Dy2ScMn
_chemical_formula_sum 'Dy2 Sc1 Mn1'
_cell_length_a 3.494
_cell_length_b 3.494
_cell_length_c 8.188
_cell_angle_alpha 90.00
_cell_angle_beta 90.00
_cell_angle_gamma 90.00
_symmetry_space_group_name_H-M 'P 1'
_symmetry_Int_Tables_number 1
_symmetry_space_group_name_Hall 'P 1'
loop_
_atom_site_label
_atom_site_type_symbol
_atom_site_fract_x
_atom_site_fract_y
_atom_site_fract_z
_atom_site_occupancy
Dy1 Dy 0.000 0.000 0.214 1
Dy2 Dy 0.000 0.000 0.786 1
Sc1 Sc 0.500 0.500 0.500 1
Mn1 Mn 0.500 0.500 0.000 1

Entry 8:
# CdTc2Cl, optimized geometry, DFT PBE
# E_tot   -5.2834 eV per atom
# Offset from the most stable computed form   603 meV per atom
# Fermi-level density of states   4.12 states/eV/cell
# Energy relative to the elements, uncorrected   590.1 meV per atom
data_CdTc2Cl
_chemical_formula_sum 'Cd1 Tc2 Cl1'
_cell_length_a 8.929
_cell_length_b 8.929
_cell_length_c 8.929
_cell_angle_alpha 18.78
_cell_angle_beta 18.78
_cell_angle_gamma 18.78
_symmetry_space_group_name_H-M 'P 1'
_symmetry_Int_Tables_number 1
_symmetry_space_group_name_Hall 'P 1'
loop_
_atom_site_label
_atom_site_type_symbol
_atom_site_fract_x
_atom_site_fract_y
_atom_site_fract_z
_atom_site_occupancy
Cd1 Cd 0.000 0.000 0.000 1
Tc1 Tc 0.242 0.242 0.242 1
Tc2 Tc 0.758 0.758 0.758 1
Cl1 Cl 0.500 0.500 0.500 1

Entry 9:
# TmTh2Pb2, optimized geometry, DFT PBE
# E_tot   -5.3967 eV per atom
# Offset from the most stable computed form   236 meV per atom
# Fermi-level density of states   7.22 states/eV/cell
# Formation enthalpy at 0 K   -4.9 kJ/mol of atoms
data_TmTh2Pb2
_chemical_formula_sum 'Tm1 Th2 Pb2'
_cell_length_a 8.088
_cell_length_b 8.088
_cell_length_c 4.264
_cell_angle_alpha 90.00
_cell_angle_beta 90.00
_cell_angle_gamma 143.61
_symmetry_space_group_name_H-M 'P 1'
_symmetry_Int_Tables_number 1
_symmetry_space_group_name_Hall 'P 1'
loop_
_atom_site_label
_atom_site_type_symbol
_atom_site_fract_x
_atom_site_fract_y
_atom_site_fract_z
_atom_site_occupancy
Tm1 Tm 0.000 0.000 0.000 1
Th1 Th 0.332 0.668 0.000 1
Th2 Th 0.668 0.332 0.000 1
Pb1 Pb 0.151 0.849 0.500 1
Pb2 Pb 0.849 0.151 0.500 1

Entry 10:
# YPC, optimized geometry, DFT PBE
# E_tot   -7.5348 eV per atom
# Offset from the most stable computed form   0 meV per atom
# Fermi-level density of states   1.83 states/eV/cell
# Formation enthalpy at 0 K   -48.5 kJ/mol of atoms
data_YPC
_chemical_formula_sum 'Y2 P2 C2'
_cell_length_a 4.103
_cell_length_b 4.116
_cell_length_c 6.486
_cell_angle_alpha 91.21
_cell_angle_beta 99.47
_cell_angle_gamma 90.15
_symmetry_space_group_name_H-M 'P 1'
_symmetry_Int_Tables_number 1
_symmetry_space_group_name_Hall 'P 1'
loop_
_atom_site_label
_atom_site_type_symbol
_atom_site_fract_x
_atom_site_fract_y
_atom_site_fract_z
_atom_site_occupancy
Y1 Y 0.162 0.186 0.264 1
Y2 Y 0.838 0.814 0.736 1
P1 P 0.328 0.300 0.709 1
P2 P 0.672 0.700 0.291 1
C1 C 0.357 0.016 0.929 1
C2 C 0.643 0.984 0.071 1

Entry 11:
# Pa2CoB5, optimized geometry, DFT PBE
# E_tot   -7.7868 eV per atom
# Fermi-level density of states   5.68 states/eV/cell
# Formation enthalpy at 0 K   -33.9 kJ/mol of atoms
data_Pa2CoB5
_chemical_formula_sum 'Pa2 Co1 B5'
_cell_length_a 5.225
_cell_length_b 5.225
_cell_length_c 5.225
_cell_angle_alpha 122.61
_cell_angle_beta 122.61
_cell_angle_gamma 85.54
_symmetry_space_group_name_H-M 'P 1'
_symmetry_Int_Tables_number 1
_symmetry_space_group_name_Hall 'P 1'
loop_
_atom_site_label
_atom_site_type_symbol
_atom_site_fract_x
_atom_site_fract_y
_atom_site_fract_z
_atom_site_occupancy
Pa1 Pa 0.000 0.500 0.500 1
Pa2 Pa 0.500 0.000 0.500 1
Co1 Co 0.221 0.221 0.000 1
B1 B 0.574 0.574 0.635 1
B2 B 0.574 0.939 0.000 1
B3 B 0.921 0.921 0.000 1
B4 B 0.939 0.574 0.000 1
B5 B 0.939 0.939 0.365 1

Entry 12:
# LaTbPmAg, optimized geometry, DFT PBE
# E_tot   -4.4087 eV per atom
# Offset from the most stable computed form   0 meV per atom
# Fermi-level density of states   5.88 states/eV/cell
# Formation enthalpy at 0 K   -11.5 kJ/mol of atoms
data_LaTbPmAg
_chemical_formula_sum 'La1 Tb1 Pm1 Ag1'
_cell_length_a 3.711
_cell_length_b 3.711
_cell_length_c 8.723
_cell_angle_alpha 90.00
_cell_angle_beta 90.00
_cell_angle_gamma 90.00
_symmetry_space_group_name_H-M 'P 1'
_symmetry_Int_Tables_number 1
_symmetry_space_group_name_Hall 'P 1'
loop_
_atom_site_label
_atom_site_type_symbol
_atom_site_fract_x
_atom_site_fract_y
_atom_site_fract_z
_atom_site_occupancy
La1 La 0.000 0.000 0.000 1
Tb1 Tb 0.500 0.500 0.289 1
Pm1 Pm 0.500 0.500 0.705 1
Ag1 Ag 0.000 0.000 0.486 1